(1)
A plane-wave DFT calculation with GGA-PBE was carried out for a geometry-optimized LaRe2 structure.

Cell lengths 6.0356, 6.0356, 5.4079 Å; angles 90.00, 90.00, 42.05 degrees
Atoms (fractional coordinates):
Re 0.3056 0.3056 0.3889
Re 0.7564 0.7564 0.1389
Re 0.3056 0.3056 0.8889
Re 0.8547 0.8547 0.6389
La 0.0221 0.0221 0.1388
La 0.5890 0.5890 0.6389

Density of states at the Fermi level = 3.505 states/eV per cell
Theoretical density = 12871 kg/m3
SG = No. 63
ΔH_f (0 K) = 0.090 eV per atom



(2)
A plane-wave DFT calculation with GGA-PBE was carried out for a geometry-optimized La4Re3 structure.

Cell lengths 5.4425, 5.4425, 6.4082 Å; angles 90.00, 90.00, 120.00 degrees
Atoms (fractional coordinates):
La 0.0000 0.0000 0.2542
La 0.6667 0.3333 0.5000
La 0.3333 0.6667 0.5000
La 0.0000 0.0000 0.7458
Re 0.5000 0.5000 0.0000
Re 0.5000 0.0000 0.0000
Re 0.0000 0.5000 0.0000

Density of states at the Fermi level = 8.404 states/eV per cell
Theoretical density = 11256 kg/m3
SG = No. 191
ΔH_f (0 K) = 0.242 eV per atom



(3)
A plane-wave DFT calculation with GGA-PBE was carried out for a geometry-optimized LaRe2 structure.

Cell lengths 6.0062, 6.0062, 6.0062 Å; angles 150.35, 141.34, 49.47 degrees
Atoms (fractional coordinates):
Re 0.2734 0.2734 0.0000
Re 0.7266 0.7266 0.0000
La 0.0000 0.0000 0.0000

Density of states at the Fermi level = 3.228 states/eV per cell
Theoretical density = 12735 kg/m3
SG = No. 71
ΔH_f (0 K) = 0.421 eV per atom



(4)
A plane-wave DFT calculation with GGA-PBE was carried out for a geometry-optimized LaRe2 structure.

Cell lengths 9.1449, 9.1449, 4.6614 Å; angles 90.00, 90.00, 161.24 degrees
Atoms (fractional coordinates):
Re 0.7735 0.2265 0.5000
Re 0.6626 0.3374 0.0000
Re 0.1585 0.8415 0.5000
Re 0.4100 0.5900 0.5000
La 0.0112 0.9888 0.0000
La 0.3176 0.6824 0.0000

Density of states at the Fermi level = 6.935 states/eV per cell
Theoretical density = 13547 kg/m3
SG = No. 38
ΔH_f (0 K) = 0.687 eV per atom



(5)
A plane-wave DFT calculation with GGA-PBE was carried out for a geometry-optimized La4Re structure.

Cell lengths 8.7962, 8.7962, 8.7962 Å; angles 156.03, 148.62, 39.87 degrees
Atoms (fractional coordinates):
La 0.9128 0.9128 0.0000
La 0.0872 0.0872 0.0000
La 0.6758 0.6758 0.0000
La 0.3242 0.3242 0.0000
Re 0.5000 0.5000 0.0000

E above lowest polymorph = 0.95 eV/f.u.
Density of states at the Fermi level = 6.264 states/eV per cell
Theoretical density = 8570 kg/m3
SG = No. 71
ΔH_f (0 K) = 0.317 eV per atom



(6)
A plane-wave DFT calculation with GGA-PBE was carried out for a geometry-optimized La3Re structure.

Cell lengths 7.5484, 9.8469, 6.6853 Å; angles 90.00, 90.00, 90.00 degrees
Atoms (fractional coordinates):
La 0.9446 0.7500 0.1349
La 0.8292 0.9327 0.6688
La 0.0554 0.2500 0.8651
La 0.6708 0.0673 0.1688
La 0.3292 0.5673 0.8312
La 0.5554 0.2500 0.6349
La 0.4446 0.7500 0.3651
La 0.1708 0.0673 0.3312
La 0.1708 0.4327 0.3312
La 0.8292 0.5673 0.6688
La 0.6708 0.4327 0.1688
La 0.3292 0.9327 0.8312
Re 0.1080 0.7500 0.5422
Re 0.3920 0.2500 0.0422
Re 0.6080 0.7500 0.9578
Re 0.8920 0.2500 0.4578

Density of states at the Fermi level = 16.254 states/eV per cell
Theoretical density = 8059 kg/m3
SG = No. 62
ΔH_f (0 K) = 0.088 eV per atom



(7)
A plane-wave DFT calculation with GGA-PBE was carried out for a geometry-optimized LaRe2 structure.

Cell lengths 3.1375, 6.5958, 3.1375 Å; angles 76.24, 90.00, 103.76 degrees
Atoms (fractional coordinates):
La 0.0000 0.0000 0.0000
Re 0.3019 0.6038 0.6981
Re 0.6981 0.3962 0.3019

Density of states at the Fermi level = 2.876 states/eV per cell
Theoretical density = 13886 kg/m3
SG = No. 139
ΔH_f (0 K) = 0.222 eV per atom



(8)
A plane-wave DFT calculation with GGA-PBE was carried out for a geometry-optimized LaRe3 structure.

Cell lengths 5.1296, 5.6502, 2.9798 Å; angles 74.71, 90.00, 117.00 degrees
Atoms (fractional coordinates):
La 0.9509 0.0000 0.0000
Re 0.4694 0.0000 0.5000
Re 0.5928 0.4393 0.7804
Re 0.1536 0.5607 0.2196

E above lowest polymorph = 0.96 eV/f.u.
Density of states at the Fermi level = 3.348 states/eV per cell
Theoretical density = 15757 kg/m3
SG = No. 44
ΔH_f (0 K) = 0.618 eV per atom



(9)
A plane-wave DFT calculation with GGA-PBE was carried out for a geometry-optimized LaRe3 structure.

Cell lengths 2.8296, 2.8296, 9.6948 Å; angles 90.00, 90.00, 114.01 degrees
Atoms (fractional coordinates):
Re 0.5000 0.5000 0.7201
Re 0.5000 0.5000 0.2799
Re 0.0000 0.0000 0.5000
La 0.0000 0.0000 0.0000

E above lowest polymorph = 0.80 eV/f.u.
Density of states at the Fermi level = 3.529 states/eV per cell
Theoretical density = 16335 kg/m3
SG = No. 65
ΔH_f (0 K) = 0.576 eV per atom



(10)
A plane-wave DFT calculation with GGA-PBE was carried out for a geometry-optimized La2Re3 structure.

Cell lengths 10.5305, 10.5305, 10.5305 Å; angles 162.43, 162.43, 24.95 degrees
Atoms (fractional coordinates):
Re 0.5000 0.5000 0.0000
Re 0.7203 0.7203 0.0000
Re 0.2797 0.2797 0.0000
La 0.8999 0.8999 0.0000
La 0.1001 0.1001 0.0000

E above lowest polymorph = 1.54 eV/f.u.
Density of states at the Fermi level = 7.104 states/eV per cell
Theoretical density = 13057 kg/m3
SG = No. 139
ΔH_f (0 K) = 0.502 eV per atom



(11)
A plane-wave DFT calculation with GGA-PBE was carried out for a geometry-optimized La3Re structure.

Cell lengths 3.3339, 6.1668, 6.1668 Å; angles 63.17, 79.62, 100.38 degrees
Atoms (fractional coordinates):
La 0.5000 0.5000 0.0000
La 0.5000 0.0000 0.5000
La 0.0000 0.0000 0.0000
Re 0.0000 0.5000 0.5000

Density of states at the Fermi level = 5.770 states/eV per cell
Theoretical density = 9424 kg/m3
SG = No. 166
ΔH_f (0 K) = 0.577 eV per atom



(12)
A plane-wave DFT calculation with GGA-PBE was carried out for a geometry-optimized La3Re structure.

Cell lengths 3.8117, 3.8117, 10.2262 Å; angles 90.00, 90.00, 120.00 degrees
Atoms (fractional coordinates):
La 0.0000 0.0000 0.9389
La 0.3333 0.6667 0.2500
La 0.0000 0.0000 0.5611
Re 0.3333 0.6667 0.7500

Density of states at the Fermi level = 7.535 states/eV per cell
Theoretical density = 7781 kg/m3
SG = No. 187
ΔH_f (0 K) = 0.481 eV per atom



(13)
A plane-wave DFT calculation with GGA-PBE was carried out for a geometry-optimized LaRe2 structure.

Cell lengths 7.6252, 7.6252, 3.1067 Å; angles 90.00, 90.00, 139.21 degrees
Atoms (fractional coordinates):
La 0.9038 0.0962 0.2500
La 0.0962 0.9038 0.7500
Re 0.7226 0.2774 0.7500
Re 0.5751 0.4249 0.2500
Re 0.2774 0.7226 0.2500
Re 0.4249 0.5751 0.7500

Density of states at the Fermi level = 5.808 states/eV per cell
Theoretical density = 14391 kg/m3
SG = No. 63
ΔH_f (0 K) = 0.606 eV per atom



(14)
A plane-wave DFT calculation with GGA-PBE was carried out for a geometry-optimized LaRe2 structure.

Cell lengths 2.9214, 5.0169, 7.8877 Å; angles 90.00, 90.00, 90.00 degrees
Atoms (fractional coordinates):
La 0.0000 0.0000 0.0000
La 0.5000 0.5000 0.5000
Re 0.7664 0.0000 0.6419
Re 0.7336 0.5000 0.1419
Re 0.2336 0.0000 0.3581
Re 0.2664 0.5000 0.8581

Density of states at the Fermi level = 4.829 states/eV per cell
Theoretical density = 14689 kg/m3
SG = No. 58
ΔH_f (0 K) = 0.870 eV per atom



(15)
A plane-wave DFT calculation with GGA-PBE was carried out for a geometry-optimized LaRe3 structure.

Cell lengths 4.6568, 4.6568, 4.6568 Å; angles 60.00, 60.00, 60.00 degrees
Atoms (fractional coordinates):
Re 0.2500 0.2500 0.2500
Re 0.7500 0.7500 0.7500
Re 0.5000 0.5000 0.5000
La 0.0000 0.0000 0.0000

E above lowest polymorph = 1.16 eV/f.u.
Density of states at the Fermi level = 2.961 states/eV per cell
Theoretical density = 16220 kg/m3
SG = No. 225
ΔH_f (0 K) = 0.667 eV per atom



(16)
A plane-wave DFT calculation with GGA-PBE was carried out for a geometry-optimized LaRe3 structure.

Cell lengths 2.8496, 10.2904, 2.8496 Å; angles 97.96, 60.00, 97.96 degrees
Atoms (fractional coordinates):
La 0.0000 0.0000 0.0000
Re 0.7622 0.2866 0.7622
Re 0.2378 0.7134 0.2378
Re 0.5000 0.5000 0.5000

E above lowest polymorph = 0.57 eV/f.u.
Density of states at the Fermi level = 4.134 states/eV per cell
Theoretical density = 16215 kg/m3
SG = No. 166
ΔH_f (0 K) = 0.519 eV per atom



(17)
A plane-wave DFT calculation with GGA-PBE was carried out for a geometry-optimized La5Re structure.

Cell lengths 5.9971, 5.9971, 6.1522 Å; angles 90.00, 90.00, 120.00 degrees
Atoms (fractional coordinates):
La 0.5000 0.0000 0.5000
La 0.6667 0.3333 0.0000
La 0.5000 0.5000 0.5000
La 0.0000 0.5000 0.5000
La 0.3333 0.6667 0.0000
Re 0.0000 0.0000 0.0000

E above lowest polymorph = 5.49 eV/f.u.
Density of states at the Fermi level = 12.259 states/eV per cell
Theoretical density = 7632 kg/m3
SG = No. 191
ΔH_f (0 K) = 1.049 eV per atom



(18)
A plane-wave DFT calculation with GGA-PBE was carried out for a geometry-optimized LaRe3 structure.

Cell lengths 5.3611, 9.6393, 5.6802 Å; angles 90.00, 90.00, 90.00 degrees
Atoms (fractional coordinates):
La 0.5024 0.2500 0.1450
La 0.0024 0.2500 0.3550
La 0.4976 0.7500 0.8550
La 0.9976 0.7500 0.6450
Re 0.7050 0.0269 0.6243
Re 0.7950 0.5269 0.1243
Re 0.5539 0.7500 0.3405
Re 0.0539 0.7500 0.1595
Re 0.7950 0.9731 0.1243
Re 0.2950 0.5269 0.3757
Re 0.7050 0.4731 0.6243
Re 0.2950 0.9731 0.3757
Re 0.9461 0.2500 0.8405
Re 0.2050 0.4731 0.8757
Re 0.4461 0.2500 0.6595
Re 0.2050 0.0269 0.8757

E above lowest polymorph = 0.41 eV/f.u.
Density of states at the Fermi level = 17.204 states/eV per cell
Theoretical density = 15784 kg/m3
SG = No. 62
ΔH_f (0 K) = 0.481 eV per atom



(19)
A plane-wave DFT calculation with GGA-PBE was carried out for a geometry-optimized La4Re structure.

Cell lengths 6.6267, 6.6267, 6.6267 Å; angles 49.99, 49.99, 49.99 degrees
Atoms (fractional coordinates):
Re 0.0000 0.0000 0.0000
La 0.1555 0.1555 0.1555
La 0.3794 0.3794 0.3794
La 0.8445 0.8445 0.8445
La 0.6206 0.6206 0.6206

E above lowest polymorph = 0.46 eV/f.u.
Density of states at the Fermi level = 7.269 states/eV per cell
Theoretical density = 7842 kg/m3
SG = No. 166
ΔH_f (0 K) = 0.218 eV per atom



(20)
A plane-wave DFT calculation with GGA-PBE was carried out for a geometry-optimized La2Re3 structure.

Cell lengths 6.5805, 6.5805, 7.9163 Å; angles 41.99, 41.99, 28.08 degrees
Atoms (fractional coordinates):
La 0.9153 0.9153 0.2706
La 0.0847 0.0847 0.7294
Re 0.5000 0.5000 0.5000
Re 0.7506 0.7506 0.8723
Re 0.2494 0.2494 0.1277

E above lowest polymorph = 0.59 eV/f.u.
Density of states at the Fermi level = 5.443 states/eV per cell
Theoretical density = 13396 kg/m3
SG = No. 12
ΔH_f (0 K) = 0.311 eV per atom